[1]
Below is a relaxed structure of Be2Cd2Rh, with properties calculated at the PBE-GGA level.

Properties
Its offset from the most stable computed form is 0 kJ/mol of formula units.

Cell: 6.054 6.054 3.917 Å, 90.00 90.00 90.00°
Space group P4/mbm (No. 127)
Unique sites:
1 Be 0.136 0.364 0.000
2 Cd 0.172 0.672 0.500
3 Rh 0.000 0.000 0.000

=====

[2]
Below is a relaxed structure of BeCdRh2, with properties calculated at the PBE-GGA level.

Cell: 5.435 8.589 2.780 Å, 90.00 115.61 90.00°
Space group C2/m (No. 12)
Unique sites:
1 Be 0.000 0.000 0.000
2 Cd 0.000 0.500 0.000
3 Rh 0.250 0.250 0.500

=====

[3]
Below is a relaxed structure of Be2CdRh, with properties calculated at the PBE-GGA level.

Cell: 7.886 3.036 4.760 Å, 90.00 106.23 90.00°
Space group C2/m (No. 12)
Unique sites:
1 Be 0.225 0.000 0.142
2 Cd 0.000 0.000 0.500
3 Rh 0.000 0.500 0.000

=====

[4]
Below is a relaxed structure of BeCdRh4, with properties calculated at the PBE-GGA level.

Cell: 7.241 7.241 7.241 Å, 90.00 90.00 90.00°
Space group F-43m (No. 216)
Unique sites:
1 Be 0.000 0.000 0.000
2 Cd 0.250 0.250 0.250
3 Rh 0.125 0.125 0.625

=====

Number 1: magnetization 0.00 μB per cell, formation energy from the elements 0.0895 eV/atom, E_tot -3.24 eV per atom. Number 2: magnetization 0.00 μB per cell, formation energy from the elements 0.1124 eV/atom, E_tot -4.72 eV per atom. Number 3: magnetization 0.00 μB per cell, formation energy from the elements -0.0864 eV/atom, E_tot -4.02 eV per atom. Number 4: magnetization 0.17 μB per cell, formation energy from the elements 0.3027 eV/atom, E_tot -5.37 eV per atom.